Entry 1:
First-principles (PBE) data for a geometry-optimized Pr4Ag3Hg2 structure, as listed in Alexandria.

Results
Total energy (eV for the cell shown): -30.85

```
Pr4Ag3Hg2
1.0
-2.540 -4.034 -1.831
0.873 -5.032 2.755
-6.314 0.947 6.669
Pr Ag Hg
4 3 2
direct
0.646 0.707 0.906
0.073 0.855 0.344
0.927 0.145 0.656
0.354 0.293 0.094
0.371 0.257 0.436
0.000 0.000 0.000
0.629 0.743 0.564
0.248 0.503 0.724
0.752 0.497 0.276
```

***

Entry 2:
First-principles (PBE) data for a geometry-optimized Pr2Ag2Hg3 structure, as listed in Alexandria.

Results
Total energy (eV for the cell shown): -17.90

```
Pr2Ag2Hg3
1.0
-2.083 -1.764 2.445
2.228 -3.993 -0.983
5.963 4.089 8.030
Pr Ag Hg
2 2 3
direct
0.000 0.843 0.686
0.000 0.157 0.314
0.500 0.714 0.428
0.500 0.286 0.572
0.500 0.574 0.148
0.500 0.426 0.852
0.000 0.000 0.000
```

***

Entry 3:
First-principles (PBE) data for a geometry-optimized Pr3Ag2Hg7 structure, as listed in Alexandria.

Results
Total energy (eV for the cell shown): -25.12

```
Pr3Ag2Hg7
1.0
3.935 0.000 0.000
0.000 5.024 0.000
0.000 -2.512 15.688
Pr Ag Hg
3 2 7
direct
0.500 0.500 0.000
0.500 0.681 0.362
0.500 0.319 0.638
0.000 0.858 0.717
0.000 0.142 0.283
0.000 0.410 0.821
0.000 0.771 0.543
0.000 0.000 0.000
0.000 0.590 0.179
0.500 0.075 0.150
0.500 0.925 0.850
0.000 0.229 0.457
```

***

The records above give, respectively, magnetization values of 0.00 0.00 0.00 μB per cell.
The records above give, respectively, volume values of 242.1 180.8 310.2 Å³ per cell.